Pt4O: relaxed, PBE.

Cell lengths 4.2301, 4.2301, 4.2301 Å; angles 90.00, 90.00, 90.00 degrees
Atoms (fractional coordinates):
Pt 0.0000 0.0000 0.0000
Pt 0.0000 0.5000 0.5000
Pt 0.5000 0.0000 0.5000
Pt 0.5000 0.5000 0.0000
O 0.5000 0.5000 0.5000

Summary:
* formation energy from raw total energies: 0.60 eV/atom
* calculated density: 17.5 Mg/m³
* calculated volume: 76 Å³ per cell
* M_tot: 0.000 μB per atom
* space-group type: Pm-3m
* D(E_F): 9.49 states/eV/f.u.
* VASP energy: -26.1 eV/cell

NaTaNb2Re: relaxed, PBE.

Cell lengths 4.9769, 4.9769, 4.8298 Å; angles 90.00, 90.00, 90.00 degrees
Atoms (fractional coordinates):
Na 0.0000 0.0000 0.0000
Ta 0.5000 0.5000 0.5000
Nb 0.0000 0.5000 0.5000
Nb 0.5000 0.0000 0.5000
Re 0.5000 0.5000 0.0000

Summary:
* calculated density: 8.0 Mg/m³
* calculated volume: 120 Å³ per cell
* formation energy from the elements: 1.600 eV per atom
* M_tot: 0.057 μB per atom
* space-group type: P4/mmm
* D(E_F): 4.23 states/eV/f.u.
* VASP energy: -37.8 eV/cell

MgCo2Ag: relaxed, PBE.

Cell lengths 4.9529, 4.9529, 4.9529 Å; angles 138.67, 133.82, 63.68 degrees
Atoms (fractional coordinates):
Mg 0.0000 0.0000 0.0000
Co 0.2496 0.7496 0.5000
Co 0.7504 0.2504 0.5000
Ag 0.5000 0.5000 0.0000

Summary:
* calculated density: 7.3 Mg/m³
* calculated volume: 57 Å³ per cell
* formation energy from the elements: 0.252 eV per atom
* M_tot: 0.772 μB per atom
* space-group type: Immm
* D(E_F): 4.55 states/eV/f.u.
* VASP energy: -17.7 eV/cell

CuRhBr2: relaxed, PBE.

Cell lengths 7.9377, 7.9377, 7.9377 Å; angles 155.19, 154.17, 36.11 degrees
Atoms (fractional coordinates):
Cu 0.0000 0.0000 0.0000
Rh 0.1340 0.6340 0.5000
Br 0.4401 0.4401 0.0000
Br 0.6866 0.1866 0.5000

Summary:
* formation energy from raw total energies: 0.18 eV/atom
* calculated density: 5.9 Mg/m³
* E above lowest polymorph: 191 meV/atom
* calculated volume: 91 Å³ per cell
* M_tot: 0.000 μB per atom
* space-group type: Imm2
* D(E_F): 3.48 states/eV/f.u.
* VASP energy: -14.1 eV/cell

SiPdNO2: relaxed, PBE.

Cell lengths 4.1118, 4.1118, 3.7081 Å; angles 90.00, 90.00, 90.00 degrees
Atoms (fractional coordinates):
Si 0.0000 0.0000 0.0000
Pd 0.5000 0.5000 0.5000
N 0.5000 0.5000 0.0000
O 0.0000 0.5000 0.5000
O 0.5000 0.0000 0.5000

Summary:
* formation energy from raw total energies: 0.76 eV/atom
* calculated density: 4.8 Mg/m³
* calculated volume: 63 Å³ per cell
* M_tot: 0.000 μB per atom
* space-group type: P4/mmm
* D(E_F): 3.55 states/eV/f.u.
* VASP energy: -25.0 eV/cell